PBE+U FePO3, optimized geometry; calculated total energy = -6.398 eV per atom
1.0
1.3311 -7.5588 0.0000
1.3311 7.5588 0.0000
0.0000 0.0000 5.6626
Fe P O
2 2 6
direct
0.0435 0.9565 0.5000
0.9565 0.0435 0.0000
0.3529 0.6471 0.4781
0.6471 0.3529 0.9781
0.1074 0.8926 0.1672
0.2082 0.7918 0.8739
0.4356 0.5644 0.2990
0.5644 0.4356 0.7990
0.7918 0.2082 0.3739
0.8926 0.1074 0.6672